(1)
The following is a DFT calculation (GGA+U) of a relaxed structure of FeO2F2.

Results
Energy: -3.88 eV per atom
D(E_F): 0.228 states/eV per atom

abc: 3.8942 3.8942 3.4404
angles: 90.00 90.00 90.00
Site moments in Bohr magnetons follow the coordinates.
Atoms (fractional coordinates):
1 Fe 0.5000 0.5000 0.5000  3.82
2 O 0.0000 0.0000 0.0000  0.01
3 O 0.0000 0.0000 0.5000  0.01
4 F 0.0000 0.5000 0.0000  0.02
5 F 0.5000 0.0000 0.0000  0.02


(2)
The following is a DFT calculation (GGA+U) of a relaxed structure of Fe6O7F5.

Results
D(E_F): 0.199 states/eV per atom
Energy above the lowest structure with this stoichiometry: 2.36 eV/f.u.

abc: 4.7467 5.6330 7.6892
angles: 84.21 87.33 86.18
Site moments in Bohr magnetons follow the coordinates.
Atoms (fractional coordinates):
1 Fe 0.5452 0.8482 0.6637  4.31
2 Fe 0.5356 0.5097 0.0110  4.27
3 Fe 0.4895 0.1636 0.3350  3.18
4 Fe 0.9965 0.3183 0.6715  4.38
5 Fe 0.9935 0.6646 0.3214  4.34
6 Fe 0.9644 0.0014 0.0002  3.03
7 O 0.8056 0.0349 0.7789  0.06
8 O 0.8058 0.7161 0.0966  0.07
9 O 0.6892 0.2090 0.1105  -0.02
10 O 0.6938 0.5351 0.7699  0.22
11 O 0.7017 0.8739 0.4283  0.13
12 O 0.3053 0.1259 0.5655  0.11
13 O 0.3070 0.4641 0.2315  0.07
14 F 0.8097 0.3728 0.4367  0.12
15 F 0.2995 0.7959 0.8975  0.09
16 F 0.1883 0.9599 0.2181  0.07
17 F 0.1831 0.6224 0.5607  0.10
18 F 0.1863 0.2843 0.9031  0.07


Copy entry 2 word for word.
The following is a DFT calculation (GGA+U) of a relaxed structure of Fe6O7F5.

Results
D(E_F): 0.199 states/eV per atom
Energy above the lowest structure with this stoichiometry: 2.36 eV/f.u.

abc: 4.7467 5.6330 7.6892
angles: 84.21 87.33 86.18
Site moments in Bohr magnetons follow the coordinates.
Atoms (fractional coordinates):
1 Fe 0.5452 0.8482 0.6637  4.31
2 Fe 0.5356 0.5097 0.0110  4.27
3 Fe 0.4895 0.1636 0.3350  3.18
4 Fe 0.9965 0.3183 0.6715  4.38
5 Fe 0.9935 0.6646 0.3214  4.34
6 Fe 0.9644 0.0014 0.0002  3.03
7 O 0.8056 0.0349 0.7789  0.06
8 O 0.8058 0.7161 0.0966  0.07
9 O 0.6892 0.2090 0.1105  -0.02
10 O 0.6938 0.5351 0.7699  0.22
11 O 0.7017 0.8739 0.4283  0.13
12 O 0.3053 0.1259 0.5655  0.11
13 O 0.3070 0.4641 0.2315  0.07
14 F 0.8097 0.3728 0.4367  0.12
15 F 0.2995 0.7959 0.8975  0.09
16 F 0.1883 0.9599 0.2181  0.07
17 F 0.1831 0.6224 0.5607  0.10
18 F 0.1863 0.2843 0.9031  0.07


Which of these has the highest D(E_F)? FeO2F2